1.
First-principles (GGA-PBE) data for a relaxed structure of Ac3PmOs, as listed in Alexandria.

* formation energy: 119 meV per atom
* ρ: 8329 kg/m3
* excess energy over the best structure of this formula in the dataset: 0.178 eV/atom

a b c (Å): 5.873 5.873 5.873
angles (deg): 90.00 90.00 90.00
Space group Pm-3m (No. 221)
Inequivalent atoms, fractional coordinates:
Ac  0.000  0.000  0.500 [3 per cell]
Pm  0.500  0.500  0.500 [1 per cell]
Os  0.000  0.000  0.000 [1 per cell]

***

2.
First-principles (GGA-PBE) data for a relaxed structure of Pm4Dy3Tl2, as listed in Alexandria.

* formation energy: -90 meV per atom
* ρ: 8483 kg/m3

a b c (Å): 12.917 13.726 6.547
angles (deg): 90.00 95.23 90.00
Space group C2/c (No. 15)
Inequivalent atoms, fractional coordinates:
Pm  0.105  0.211  0.086 [8 per cell]
Pm  0.147  0.325  0.591 [8 per cell]
Dy  0.000  0.468  0.250 [4 per cell]
Dy  0.112  0.063  0.604 [8 per cell]
Tl  0.204  0.431  0.045 [8 per cell]

***

3.
First-principles (GGA-PBE) data for a relaxed structure of Ac2B3Rh12Pb, as listed in Alexandria.

* formation energy: -119 meV per atom
* ρ: 10444 kg/m3

a b c (Å): 7.5315 7.5315 18.7252
angles (deg): 90.00 90.00 120.00
Space group R-3m (No. 166, hexagonal axes)
Inequivalent atoms, fractional coordinates:
Ac  0.0000  0.0000  0.0965 [6 per cell]
B  0.0000  0.5000  0.0000 [9 per cell]
Rh  0.0747  0.5373  0.3095 [18 per cell]
Rh  0.0775  0.5387  0.8907 [18 per cell]
Pb  0.0000  0.0000  0.5000 [3 per cell]

***

4.
First-principles (GGA-PBE) data for a relaxed structure of LaSm12Dy2, as listed in Alexandria.

* formation energy: 158 meV per atom
* ρ: 7318 kg/m3

a b c (Å): 7.139 11.521 25.033
angles (deg): 90.00 90.00 90.00
Space group Cmme (No. 67)
Inequivalent atoms, fractional coordinates:
La  0.000  0.250  0.004 [4 per cell]
Sm  0.000  0.008  0.922 [8 per cell]
Sm  0.000  0.023  0.440 [8 per cell]
Sm  0.232  0.250  0.585 [8 per cell]
Sm  0.246  0.250  0.133 [8 per cell]
Sm  0.250  0.000  0.201 [8 per cell]
Sm  0.250  0.000  0.327 [8 per cell]
Dy  0.000  0.250  0.273 [4 per cell]
Dy  0.000  0.250  0.732 [4 per cell]

***

5.
First-principles (GGA-PBE) data for a relaxed structure of Sn6Br5Cl7, as listed in Alexandria.

* ρ: 3619 kg/m3

a b c (Å): 13.159 9.455 10.032
angles (deg): 90.00 90.00 90.00
Space group Amm2 (No. 38)
Inequivalent atoms, fractional coordinates:
Sn  0.000  0.000  0.000 [2 per cell]
Sn  0.163  0.000  0.479 [4 per cell]
Sn  0.333  0.000  0.979 [4 per cell]
Sn  0.500  0.000  0.476 [2 per cell]
Br  0.000  0.000  0.678 [2 per cell]
Br  0.324  0.000  0.678 [4 per cell]
Br  0.338  0.000  0.274 [4 per cell]
Cl  0.000  0.000  0.270 [2 per cell]
Cl  0.167  0.198  0.991 [8 per cell]
Cl  0.500  0.197  0.974 [4 per cell]

***

6.
First-principles (GGA-PBE) data for a relaxed structure of Tb4Ho2Ge3O2, as listed in Alexandria.

* ρ: 8221 kg/m3

a b c (Å): 4.561 4.561 23.602
angles (deg): 90.00 90.00 90.00
Space group I4/mmm (No. 139)
Inequivalent atoms, fractional coordinates:
Tb  0.000  0.500  0.081 [8 per cell]
Ho  0.000  0.000  0.198 [4 per cell]
Ge  0.000  0.000  0.323 [4 per cell]
Ge  0.000  0.000  0.500 [2 per cell]
O  0.000  0.000  0.102 [4 per cell]

***

7.
First-principles (GGA-PBE) data for a relaxed structure of Pu3Mg2TaN6, as listed in Alexandria.

* ρ: 11220 kg/m3

a b c (Å): 5.779 10.021 5.670
angles (deg): 90.00 109.52 90.00
Space group C2/m (No. 12)
Inequivalent atoms, fractional coordinates:
Pu  0.000  0.000  0.000 [2 per cell]
Pu  0.000  0.329  0.000 [4 per cell]
Mg  0.000  0.166  0.500 [4 per cell]
Ta  0.000  0.500  0.500 [2 per cell]
N  0.232  0.500  0.260 [4 per cell]
N  0.234  0.344  0.731 [8 per cell]

***

8.
First-principles (GGA-PBE) data for a relaxed structure of SmPuBiO2, as listed in Alexandria.

* ρ: 10036 kg/m3

a b c (Å): 3.963 3.963 13.385
angles (deg): 90.00 90.00 90.00
Space group I4mm (No. 107)
Inequivalent atoms, fractional coordinates:
Sm  0.000  0.000  0.000 [2 per cell]
Pu  0.000  0.000  0.324 [2 per cell]
Bi  0.000  0.000  0.665 [2 per cell]
O  0.000  0.500  0.410 [4 per cell]

***

no.,V (Å³/f.u.),M_tot (μB per cell),raw total energy (eV per atom)
1,202.6,0.00,-5.5418
2,289.0,0.00,-4.2611
3,306.6,0.00,-6.7954
4,514.7,0.00,-4.5590
5,624.1,0.00,-3.4047
6,245.5,0.00,-6.2305
7,154.7,28.99,-10.0877
8,105.1,9.28,-8.9623